A plane-wave DFT calculation with GGA-PBE was carried out for an optimized crystal structure of Ho5ErGa4.

Properties
total magnetization: 0.0 μB per formula unit
formation energy: -0.29 eV per atom
VASP energy: -4.245 eV/atom
SG: C2/m (12)

Lattice parameters (Å, degrees): 8.7101 8.7101 8.6664 94.38 94.38 24.21
Fractional coordinates of all 10 atoms:
Ho 0.0000 0.0000 0.0000
Ho 0.3121 0.3121 0.1484
Ho 0.3501 0.3501 0.7163
Ho 0.6499 0.6499 0.2837
Ho 0.6879 0.6879 0.8516
Er 0.0000 0.0000 0.5000
Ga 0.1851 0.1851 0.5623
Ga 0.4766 0.4766 0.2458
Ga 0.5234 0.5234 0.7542
Ga 0.8149 0.8149 0.4377